[1]
Here is a crystal of SrTe2NCl relaxed with PBEsol from Alexandria via LeMat-Bulk. Energies are from meta-GGA SCAN.

Lattice parameters (Å, degrees): 5.454 5.454 4.296 90.00 90.00 90.00
Element x y z (fractional)
Sr1 0.000 0.000 0.000
Te1 0.000 0.500 0.500
Te2 0.500 0.000 0.500
N1 0.500 0.500 0.000
Cl1 0.500 0.500 0.500

- Formation energy without anion corrections: 0.431 eV per atom



[2]
Here is a crystal of CaWO3 relaxed with PBEsol from Alexandria via LeMat-Bulk. Energies are from meta-GGA SCAN.

Lattice parameters (Å, degrees): 5.619 7.758 5.399 90.00 90.00 90.00
Element x y z (fractional)
Ca1 0.054 0.250 0.013
Ca2 0.446 0.750 0.513
Ca3 0.554 0.250 0.487
Ca4 0.946 0.750 0.987
W1 0.000 0.000 0.500
W2 0.000 0.500 0.500
W3 0.500 0.000 0.000
W4 0.500 0.500 0.000
O1 0.019 0.750 0.422
O2 0.210 0.541 0.794
O3 0.210 0.959 0.794
O4 0.290 0.041 0.294
O5 0.290 0.459 0.294
O6 0.481 0.250 0.922
O7 0.519 0.750 0.078
O8 0.710 0.541 0.706
O9 0.710 0.959 0.706
O10 0.790 0.041 0.206
O11 0.790 0.459 0.206
O12 0.981 0.250 0.578

- Formation energy without anion corrections: -2.463 eV per atom